Entry 1:
{"formula": "RbPHAu", "functional": "PBE", "state": "optimized geometry", "spacegroup": "Pm", "e_tot_ev_per_atom": -3.55, "n_ef_per_ev_atom": 0.00, "cell": [[4.5813, 0.0000, 0.0000], [0.0000, 5.3385, 0.0000], [-2.2433, 0.0000, 4.2497]], "species": ["Rb", "P", "H", "Au"], "fractional_positions": [[0.0000, 0.0000, 0.0000], [0.2637, 0.5000, 0.5504], [0.4313, 0.5000, 0.8921], [0.7083, 0.5000, 0.4374]]}



Entry 2:
{"formula": "NaSr3V", "functional": "PBE", "state": "optimized geometry", "spacegroup": "Pm-3m", "e_tot_ev_per_atom": -2.55, "de_polymorph_mev_per_atom": 0, "n_ef_per_ev_atom": 0.79, "formation_enthalpy_0k_ev_per_atom": 0.548, "cell": [[6.3393, 0.0000, 0.0000], [0.0000, 6.3393, 0.0000], [0.0000, 0.0000, 6.3393]], "species": ["Na", "Sr", "Sr", "Sr", "V"], "fractional_positions": [[0.0000, 0.0000, 0.0000], [0.0000, 0.5000, 0.5000], [0.5000, 0.0000, 0.5000], [0.5000, 0.5000, 0.0000], [0.5000, 0.5000, 0.5000]]}



Entry 3:
{"formula": "CsSm4I12", "functional": "PBE", "state": "optimized geometry", "spacegroup": "Im-3", "e_tot_ev_per_atom": -3.60, "n_ef_per_ev_atom": 0.39, "raw_formation_energy_kj_per_mol_atoms": -129.8, "cell": [[-5.8820, 5.8820, 5.8820], [5.8820, -5.8820, 5.8820], [5.8820, 5.8820, -5.8820]], "species": ["Cs", "Sm", "Sm", "Sm", "Sm", "I", "I", "I", "I", "I", "I", "I", "I", "I", "I", "I", "I"], "fractional_positions": [[0.0000, 0.0000, 0.0000], [0.0000, 0.0000, 0.5000], [0.0000, 0.5000, 0.0000], [0.5000, 0.0000, 0.0000], [0.5000, 0.5000, 0.5000], [0.1189, 0.8168, 0.3021], [0.1832, 0.3021, 0.4853], [0.1832, 0.6979, 0.8811], [0.3021, 0.1189, 0.8168], [0.3021, 0.4853, 0.1832], [0.4853, 0.1832, 0.3021], [0.5147, 0.8168, 0.6979], [0.6979, 0.5147, 0.8168], [0.6979, 0.8811, 0.1832], [0.8168, 0.3021, 0.1189], [0.8168, 0.6979, 0.5147], [0.8811, 0.1832, 0.6979]]}



Repeat the third record exactly.
{"formula": "CsSm4I12", "functional": "PBE", "state": "optimized geometry", "spacegroup": "Im-3", "e_tot_ev_per_atom": -3.60, "n_ef_per_ev_atom": 0.39, "raw_formation_energy_kj_per_mol_atoms": -129.8, "cell": [[-5.8820, 5.8820, 5.8820], [5.8820, -5.8820, 5.8820], [5.8820, 5.8820, -5.8820]], "species": ["Cs", "Sm", "Sm", "Sm", "Sm", "I", "I", "I", "I", "I", "I", "I", "I", "I", "I", "I", "I"], "fractional_positions": [[0.0000, 0.0000, 0.0000], [0.0000, 0.0000, 0.5000], [0.0000, 0.5000, 0.0000], [0.5000, 0.0000, 0.0000], [0.5000, 0.5000, 0.5000], [0.1189, 0.8168, 0.3021], [0.1832, 0.3021, 0.4853], [0.1832, 0.6979, 0.8811], [0.3021, 0.1189, 0.8168], [0.3021, 0.4853, 0.1832], [0.4853, 0.1832, 0.3021], [0.5147, 0.8168, 0.6979], [0.6979, 0.5147, 0.8168], [0.6979, 0.8811, 0.1832], [0.8168, 0.3021, 0.1189], [0.8168, 0.6979, 0.5147], [0.8811, 0.1832, 0.6979]]}



Repeat the second record exactly.
{"formula": "NaSr3V", "functional": "PBE", "state": "optimized geometry", "spacegroup": "Pm-3m", "e_tot_ev_per_atom": -2.55, "de_polymorph_mev_per_atom": 0, "n_ef_per_ev_atom": 0.79, "formation_enthalpy_0k_ev_per_atom": 0.548, "cell": [[6.3393, 0.0000, 0.0000], [0.0000, 6.3393, 0.0000], [0.0000, 0.0000, 6.3393]], "species": ["Na", "Sr", "Sr", "Sr", "V"], "fractional_positions": [[0.0000, 0.0000, 0.0000], [0.0000, 0.5000, 0.5000], [0.5000, 0.0000, 0.5000], [0.5000, 0.5000, 0.0000], [0.5000, 0.5000, 0.5000]]}